Run i
Density functional theory data (GGA-PBE) for an optimized crystal structure of Ho3Al3GePd2.

## Properties
Space-group type: P-62m

a = 7.4193 Å, b = 7.4193 Å, c = 3.8169 Å
α = 90.00°, β = 90.00°, γ = 120.00°
Positions (direct):
Al  0.7373  0.0000  0.5000
Al  0.2627  0.2627  0.5000
Al  0.0000  0.7373  0.5000
Ge  0.0000  0.0000  0.0000
Ho  0.3994  0.0000  0.0000
Ho  0.0000  0.3994  0.0000
Ho  0.6006  0.6006  0.0000
Pd  0.6667  0.3333  0.5000
Pd  0.3333  0.6667  0.5000


Run ii
Density functional theory data (GGA-PBE) for an optimized crystal structure of Ho3Al3GePd2.

## Properties
Space-group type: P-62m

a = 7.5627 Å, b = 7.5627 Å, c = 3.9028 Å
α = 90.00°, β = 90.00°, γ = 120.00°
Positions (direct):
Al  0.4060  0.0000  0.0000
Al  0.0000  0.4060  0.0000
Al  0.5940  0.5940  0.0000
Ge  0.0000  0.0000  0.0000
Ho  0.7237  0.0000  0.5000
Ho  0.2763  0.2763  0.5000
Ho  0.0000  0.7237  0.5000
Pd  0.6667  0.3333  0.5000
Pd  0.3333  0.6667  0.5000


Short version: run i, run ii, most stable first.


Run i
Density functional theory data (GGA-PBE) for an optimized crystal structure of MgAlGeIr.

## Properties
Space-group type: F-43m

a = 4.4868 Å, b = 4.4868 Å, c = 4.4868 Å
α = 60.00°, β = 60.00°, γ = 60.00°
Positions (direct):
Al  0.2500  0.2500  0.2500
Ge  0.5000  0.5000  0.5000
Ir  0.0000  0.0000  0.0000
Mg  0.7500  0.7500  0.7500


Run ii
Density functional theory data (GGA-PBE) for an optimized crystal structure of MgAlGeIr.

## Properties
Space-group type: F-43m

a = 4.4405 Å, b = 4.4405 Å, c = 4.4405 Å
α = 60.00°, β = 60.00°, γ = 60.00°
Positions (direct):
Al  0.0000  0.0000  0.0000
Ge  0.5000  0.5000  0.5000
Ir  0.2500  0.2500  0.2500
Mg  0.7500  0.7500  0.7500


Short version: run ii, run i, most stable first.